# 1
## Pm2PuGa (GGA-PBE)

Data for a relaxed structure of Pm2PuGa.

Values from the calculation:
energy relative to the lowest polymorph listed for this composition = 0.0180 eV per atom
calculated formation energy = -144 meV per atom

Unit cell a=4.8668 b=4.8668 c=4.5291 alpha=90.00 beta=90.00 gamma=90.00
Closest atoms and distances in Å follow each position.
Space group P4/mmm (No. 123)
Asymmetric unit:
Pm 0.0000 0.5000 0.0000  4 Pu 3.32, 4 Ga 3.32, 4 Pm 3.44
Pu 0.0000 0.0000 0.5000  8 Pm 3.32, 4 Ga 3.44
Ga 0.5000 0.5000 0.5000  8 Pm 3.32, 4 Pu 3.44

=====

# 2
## K2Sm2GeO6 (GGA-PBE)

Data for a relaxed structure of K2Sm2GeO6.

Values from the calculation:
formation energy from raw total energies = -2325.1 meV/atom

Unit cell a=5.8918 b=10.0771 c=6.6092 alpha=90.00 beta=104.50 gamma=90.00
Closest atoms and distances in Å follow each position.
Space group C2/m (No. 12)
Asymmetric unit:
K 0.0000 0.1574 0.0000  4 O 2.71-2.76
Sm 0.0000 0.3347 0.5000  6 O 2.33-2.38
Ge 0.0000 0.0000 0.5000  6 O 1.95-2.02
O 0.1915 0.1477 0.6685  1 Ge 2.02
O 0.2284 0.0000 0.3312  1 Ge 1.95

=====

# 3
## LaY2InCo (GGA-PBE)

Data for a relaxed structure of LaY2InCo.

Values from the calculation:
energy relative to the lowest polymorph listed for this composition = 0.0000 eV per atom
calculated formation energy = -225 meV per atom

Unit cell a=5.2853 b=5.2853 c=5.0802 alpha=90.00 beta=90.00 gamma=90.00
Closest atoms and distances in Å follow each position.
Space group P4/mmm (No. 123)
Asymmetric unit:
La 0.0000 0.0000 0.0000  2 Co 2.54
Y 0.0000 0.5000 0.5000  2 Co 2.64
In 0.5000 0.5000 0.0000  8 Y 3.67, 4 La 3.74
Co 0.0000 0.0000 0.5000  2 La 2.54, 4 Y 2.64

=====

Number 1: total magnetization 1.559 μB/atom, DFT total energy -27.43 eV for the cell shown. Number 2: total magnetization 0.000 μB/atom, DFT total energy -143.15 eV for the cell shown. Number 3: total magnetization 0.000 μB/atom, DFT total energy -28.82 eV for the cell shown.